Entry one
Density functional theory data (PBE) for a geometry-optimized La2CuSe4 structure.

Calculated values
Calculated density   6.22 g/cm3

Cell: 7.1927 5.9860 8.5404 Å, 90.00 107.25 90.00°
Space group P2_1/m (No. 11)
Symmetry-distinct sites (fractional):
La 0.2307 0.2500 0.4304 (multiplicity 2)
La 0.2387 0.2500 0.9366 (multiplicity 2)
Cu 0.2419 0.7500 0.1871 (multiplicity 2)
Se 0.0711 0.7500 0.3905 (multiplicity 2)
Se 0.0784 0.7500 0.8970 (multiplicity 2)
Se 0.4880 0.5092 0.7429 (multiplicity 4)

Entry two
Density functional theory data (PBE) for a geometry-optimized La2CuSe4 structure.

Calculated values
Calculated density   6.16 g/cm3

Cell: 4.6818 4.6818 16.1531 Å, 90.00 90.00 90.00°
Space group I4/mmm (No. 139)
Symmetry-distinct sites (fractional):
La 0.0000 0.0000 0.1354 (multiplicity 4)
Cu 0.0000 0.0000 0.5000 (multiplicity 2)
Se 0.0000 0.0000 0.3188 (multiplicity 4)
Se 0.0000 0.5000 0.0000 (multiplicity 4)

In order of decreasing stability: entry one, entry two.